Record 1
DFT (PBE-GGA) results for a relaxed Si2HgIr crystal.

Summary:
**Formation energy (no corrections)**: 11.35 kcal/mol of atoms
**Calculated total energy**: -18.0 eV/cell
**Theoretical density**: 11.5 g/cm³
**D(E_F)**: 0.419 states/eV/atom

a = 4.6606 Å, b = 4.6606 Å, c = 3.1068 Å
α = 90.00°, β = 90.00°, γ = 106.03°
Sites, in units of the cell vectors:
Hg (0.5000, 0.0000, 0.5000)
Ir (0.0000, 0.5000, 0.5000)
Si (0.0000, 0.0000, 0.0000)
Si (0.5000, 0.5000, 0.0000)

Record 2
DFT (PBE-GGA) results for a relaxed Si2HgIr crystal.

Summary:
**Formation energy (no corrections)**: 3.23 kcal/mol of atoms
**Calculated total energy**: -19.4 eV/cell
**Theoretical density**: 10.9 g/cm³
**D(E_F)**: 0.576 states/eV/atom

a = 2.9602 Å, b = 2.9602 Å, c = 7.8371 Å
α = 90.00°, β = 90.00°, γ = 89.97°
Sites, in units of the cell vectors:
Hg (0.0000, 0.0000, 0.5193)
Ir (0.5000, 0.5000, 0.8180)
Si (0.0000, 0.0000, 0.9773)
Si (0.5000, 0.5000, 0.1854)

Record 3
DFT (PBE-GGA) results for a relaxed Si2HgIr crystal.

Summary:
**Formation energy (no corrections)**: 2.17 kcal/mol of atoms
**Calculated total energy**: -19.6 eV/cell
**Theoretical density**: 9.6 g/cm³
**D(E_F)**: 0.493 states/eV/atom

a = 2.8594 Å, b = 3.7120 Å, c = 7.3474 Å
α = 90.00°, β = 90.00°, γ = 90.00°
Sites, in units of the cell vectors:
Hg (0.0000, 0.0000, 0.4836)
Ir (0.5000, 0.5000, 0.9329)
Si (0.0000, 0.0000, 0.8361)
Si (0.5000, 0.5000, 0.2474)

Record 4
DFT (PBE-GGA) results for a relaxed Si2HgIr crystal.

Summary:
**Formation energy (no corrections)**: 6.17 kcal/mol of atoms
**Calculated total energy**: -18.9 eV/cell
**Theoretical density**: 10.2 g/cm³
**D(E_F)**: 0.364 states/eV/atom

a = 6.0621 Å, b = 6.0621 Å, c = 6.0621 Å
α = 153.26°, β = 133.10°, γ = 54.81°
Sites, in units of the cell vectors:
Hg (0.7500, 0.2500, 0.5000)
Ir (0.2500, 0.7500, 0.5000)
Si (0.0560, 0.0560, 0.0000)
Si (0.4440, 0.4440, 0.0000)

Record 5
DFT (PBE-GGA) results for a relaxed Si2HgIr crystal.

Summary:
**Formation energy (no corrections)**: 13.49 kcal/mol of atoms
**Calculated total energy**: -17.7 eV/cell
**Theoretical density**: 11.2 g/cm³
**D(E_F)**: 0.520 states/eV/atom

a = 3.0893 Å, b = 4.7598 Å, c = 4.5165 Å
α = 90.00°, β = 90.00°, γ = 90.00°
Sites, in units of the cell vectors:
Hg (0.5000, 0.0000, 0.5000)
Ir (0.0000, 0.5000, 0.5000)
Si (0.0000, 0.0000, 0.0000)
Si (0.5000, 0.5000, 0.0000)

Record 6
DFT (PBE-GGA) results for a relaxed SiHg2Ir2 crystal.

Summary:
**Polymorph energy (0 for the lowest one)**: 0.0 kJ/mol of atoms
**Formation energy (no corrections)**: 1.64 kcal/mol of atoms
**Calculated total energy**: -46.8 eV/cell
**Theoretical density**: 15.0 g/cm³
**D(E_F)**: 0.624 states/eV/atom

a = 6.1963 Å, b = 6.1963 Å, c = 4.6823 Å
α = 90.00°, β = 90.00°, γ = 90.00°
Sites, in units of the cell vectors:
Si (0.0000, 0.0000, 0.0000)
Si (0.5000, 0.5000, 0.0000)
Ir (0.3475, 0.8475, 0.0000)
Ir (0.8475, 0.6525, 0.0000)
Ir (0.6525, 0.1525, 0.0000)
Ir (0.1525, 0.3475, 0.0000)
Hg (0.1668, 0.6668, 0.5000)
Hg (0.6668, 0.8332, 0.5000)
Hg (0.8332, 0.3332, 0.5000)
Hg (0.3332, 0.1668, 0.5000)

Record 7
DFT (PBE-GGA) results for a relaxed Si2HgIr crystal.

Summary:
**Formation energy (no corrections)**: 2.33 kcal/mol of atoms
**Calculated total energy**: -19.6 eV/cell
**Theoretical density**: 10.3 g/cm³
**D(E_F)**: 0.480 states/eV/atom

a = 2.8669 Å, b = 3.1395 Å, c = 8.0131 Å
α = 90.00°, β = 90.00°, γ = 90.00°
Sites, in units of the cell vectors:
Hg (0.5000, 0.5000, 0.2500)
Ir (0.5000, 0.5000, 0.7500)
Si (0.0000, 0.0000, 0.9351)
Si (0.0000, 0.0000, 0.5649)

Record 8
DFT (PBE-GGA) results for a relaxed Si2HgIr crystal.

Summary:
**Formation energy (no corrections)**: 2.09 kcal/mol of atoms
**Calculated total energy**: -19.6 eV/cell
**Theoretical density**: 10.9 g/cm³
**D(E_F)**: 0.511 states/eV/atom

a = 8.2121 Å, b = 8.2121 Å, c = 8.2121 Å
α = 22.05°, β = 22.05°, γ = 22.05°
Sites, in units of the cell vectors:
Hg (0.2500, 0.2500, 0.2500)
Ir (0.7500, 0.7500, 0.7500)
Si (0.0123, 0.0123, 0.0123)
Si (0.4877, 0.4877, 0.4877)

Record 9
DFT (PBE-GGA) results for a relaxed SiHg3Ir crystal.

Summary:
**Polymorph energy (0 for the lowest one)**: 28.2 kJ/mol of atoms
**Formation energy (no corrections)**: 27.39 kcal/mol of atoms
**Calculated total energy**: -9.3 eV/cell
**Theoretical density**: 11.1 g/cm³
**D(E_F)**: 1.726 states/eV/atom

a = 4.9660 Å, b = 4.9660 Å, c = 4.9660 Å
α = 90.00°, β = 90.00°, γ = 90.00°
Site moments in Bohr magnetons follow the coordinates.
Sites, in units of the cell vectors:
Si (0.0000, 0.0000, 0.0000)  0.01
Ir (0.5000, 0.5000, 0.5000)  1.22
Hg (0.0000, 0.5000, 0.0000)  0.00
Hg (0.0000, 0.0000, 0.5000)  0.00
Hg (0.5000, 0.0000, 0.0000)  0.02

Record 10
DFT (PBE-GGA) results for a relaxed Si2HgIr crystal.

Summary:
**Formation energy (no corrections)**: 3.15 kcal/mol of atoms
**Calculated total energy**: -19.5 eV/cell
**Theoretical density**: 10.6 g/cm³
**D(E_F)**: 0.375 states/eV/atom

a = 4.3512 Å, b = 3.6006 Å, c = 4.8054 Å
α = 68.51°, β = 90.00°, γ = 90.00°
Sites, in units of the cell vectors:
Hg (0.0000, 0.5296, 0.5552)
Ir (0.5000, 0.9225, 0.7779)
Si (0.0000, 0.8114, 0.0091)
Si (0.5000, 0.2365, 0.1578)